# 1
The following is a DFT calculation (GGA-PBE) of Tb2CeNb after structural relaxation.

Results
Energy in eV/atom: -5.7840
Calculated density in g cm⁻³: 8.60
DOS at the Fermi energy in states/eV per cell: 7.40
Magnetization in μB/f.u.: 0.566

a = 3.251 Å, b = 3.251 Å, c = 11.772 Å
α = 82.06°, β = 82.06°, γ = 60.00°
Last column: magnetic moment on the atom in μB.
Atoms (fractional coordinates):
Nb 0.000 0.000 0.000  0.36
Tb 0.084 0.084 0.749  0.06
Tb 0.916 0.916 0.251  0.06
Ce 0.500 0.500 0.500  0.01



# 2
The following is a DFT calculation (GGA-PBE) of Ce2NbTc after structural relaxation.

Results
Energy in eV/atom: -7.6429
Calculated density in g cm⁻³: 9.37
DOS at the Fermi energy in states/eV per cell: 7.41
Magnetization in μB/f.u.: 0.000

a = 3.057 Å, b = 3.057 Å, c = 10.468 Å
α = 81.60°, β = 81.60°, γ = 60.00°
Atoms (fractional coordinates):
Nb 0.000 0.000 0.000
Tc 0.500 0.500 0.500
Ce 0.092 0.092 0.723
Ce 0.908 0.908 0.277



Number 1: energy relative to the elements 0.5321 eV/atom. Number 2: energy relative to the elements 0.4330 eV/atom.